1.
CaTeBr2 | PBE | optimized geometry

Structure (CIF):
```
data_CaTeBr2
_chemical_formula_sum 'Ca1 Te1 Br2'
_cell_length_a 12.8231
_cell_length_b 12.8231
_cell_length_c 12.8231
_cell_angle_alpha 17.41
_cell_angle_beta 17.41
_cell_angle_gamma 17.41
_space_group_name_H-M_alt 'P 1'
_space_group_IT_number 1
loop_
_space_group_symop_operation_xyz
'x,y,z'
loop_
_atom_site_label
_atom_site_type_symbol
_atom_site_fract_x
_atom_site_fract_y
_atom_site_fract_z
Br1 Br 0.1204 0.1204 0.1204
Br2 Br 0.8796 0.8796 0.8796
Ca1 Ca 0.5000 0.5000 0.5000
Te1 Te 0.0000 0.0000 0.0000
```

Computed properties:
M_tot, μB/f.u.: 0.52
Symmetry: R-3m

***

2.
CaTeBr2 | PBE | optimized geometry

Structure (CIF):
```
data_CaTeBr2
_chemical_formula_sum 'Ca1 Te1 Br2'
_cell_length_a 9.8601
_cell_length_b 9.8601
_cell_length_c 9.8601
_cell_angle_alpha 24.16
_cell_angle_beta 24.16
_cell_angle_gamma 24.16
_space_group_name_H-M_alt 'P 1'
_space_group_IT_number 1
loop_
_space_group_symop_operation_xyz
'x,y,z'
loop_
_atom_site_label
_atom_site_type_symbol
_atom_site_fract_x
_atom_site_fract_y
_atom_site_fract_z
Ca1 Ca 0.5029 0.5029 0.5029
Br1 Br 0.2246 0.2246 0.2246
Br2 Br 0.0143 0.0143 0.0143
Te1 Te 0.7582 0.7582 0.7582
```

Computed properties:
M_tot, μB/f.u.: 1.36
Symmetry: R3m

***

Least stable structure: 2

***

1.
CaTeBr2 | PBE | optimized geometry

Structure (CIF):
```
data_CaTeBr2
_chemical_formula_sum 'Ca1 Te1 Br2'
_cell_length_a 3.7756
_cell_length_b 3.7756
_cell_length_c 8.4278
_cell_angle_alpha 90.00
_cell_angle_beta 90.00
_cell_angle_gamma 90.00
_space_group_name_H-M_alt 'P 1'
_space_group_IT_number 1
loop_
_space_group_symop_operation_xyz
'x,y,z'
loop_
_atom_site_label
_atom_site_type_symbol
_atom_site_fract_x
_atom_site_fract_y
_atom_site_fract_z
Ca1 Ca 0.0000 0.0000 0.4844
Br1 Br 0.5000 0.5000 0.3142
Br2 Br 0.0000 0.0000 0.9590
Te1 Te 0.5000 0.5000 0.7425
```

Computed properties:
M_tot, μB/f.u.: 0.00
Symmetry: P4mm

***

2.
CaTeBr2 | PBE | optimized geometry

Structure (CIF):
```
data_CaTeBr2
_chemical_formula_sum 'Ca1 Te1 Br2'
_cell_length_a 5.5196
_cell_length_b 5.5196
_cell_length_c 5.5196
_cell_angle_alpha 60.00
_cell_angle_beta 60.00
_cell_angle_gamma 60.00
_space_group_name_H-M_alt 'P 1'
_space_group_IT_number 1
loop_
_space_group_symop_operation_xyz
'x,y,z'
loop_
_atom_site_label
_atom_site_type_symbol
_atom_site_fract_x
_atom_site_fract_y
_atom_site_fract_z
Te1 Te 0.5000 0.5000 0.5000
Ca1 Ca 0.0000 0.0000 0.0000
Br1 Br 0.7500 0.7500 0.7500
Br2 Br 0.2500 0.2500 0.2500
```

Computed properties:
M_tot, μB/f.u.: 1.99
Symmetry: Fm-3m

***

3.
CaTeBr2 | PBE | optimized geometry

Structure (CIF):
```
data_CaTeBr2
_chemical_formula_sum 'Ca1 Te1 Br2'
_cell_length_a 3.4817
_cell_length_b 3.4813
_cell_length_c 12.1940
_cell_angle_alpha 90.00
_cell_angle_beta 90.00
_cell_angle_gamma 90.00
_space_group_name_H-M_alt 'P 1'
_space_group_IT_number 1
loop_
_space_group_symop_operation_xyz
'x,y,z'
loop_
_atom_site_label
_atom_site_type_symbol
_atom_site_fract_x
_atom_site_fract_y
_atom_site_fract_z
Ca1 Ca 0.5000 0.5000 0.2500
Te1 Te 0.5000 0.5000 0.7500
Br1 Br 0.0000 0.0000 0.3914
Br2 Br 0.0000 0.0000 0.1086
```

Computed properties:
M_tot, μB/f.u.: 0.00
Symmetry: P4/mmm

***

4.
CaTeBr2 | PBE | optimized geometry

Structure (CIF):
```
data_CaTeBr2
_chemical_formula_sum 'Ca1 Te1 Br2'
_cell_length_a 5.8955
_cell_length_b 5.8955
_cell_length_c 5.8955
_cell_angle_alpha 130.75
_cell_angle_beta 130.75
_cell_angle_gamma 72.21
_space_group_name_H-M_alt 'P 1'
_space_group_IT_number 1
loop_
_space_group_symop_operation_xyz
'x,y,z'
loop_
_atom_site_label
_atom_site_type_symbol
_atom_site_fract_x
_atom_site_fract_y
_atom_site_fract_z
Br1 Br 0.0000 0.0000 0.0000
Br2 Br 0.5000 0.5000 0.0000
Te1 Te 0.7500 0.2500 0.5000
Ca1 Ca 0.2500 0.7500 0.5000
```

Computed properties:
M_tot, μB/f.u.: 0.17
Symmetry: I4/mmm

***

Least stable structure: 2